First-principles (GGA-PBE) data for a geometry-optimized TiCuRhN2 structure, as listed in Alexandria.

- Final energy: -29.824 eV/cell

Lattice parameters (Å, degrees): 3.7813 3.7813 5.2041 90.00 90.00 90.00
Closest atoms and distances in Å follow each position.
Space group P4/mmm (No. 123)
Inequivalent atoms, fractional coordinates:
Ti (0.0000, 0.0000, 0.0000) [1 per cell]  2 Rh 2.60, 4 Cu 2.67
Cu (0.5000, 0.5000, 0.0000) [1 per cell]  4 Ti 2.67
Rh (0.0000, 0.0000, 0.5000) [1 per cell]  4 N 1.89
N (0.0000, 0.5000, 0.5000) [2 per cell]  2 Rh 1.89